1.
{
  "formula": "U4PSe2S",
  "functional": "PBE",
  "state": "relaxed",
  "dos_at_fermi_per_ev_cell": 18.83,
  "crystal_system": "monoclinic",
  "final_energy_ev_per_cell": -70.47,
  "magnetic_moment_mub_per_cell": 9.49,
  "lattice": [[6.6752, 0.0000, 0.0000], [0.0000, 4.0310, 0.0000], [-2.4355, 0.0000, 6.6184]],
  "species": ["U", "U", "U", "U", "P", "Se", "Se", "S"],
  "frac_coords": [[0.2428, 0.0000, 0.2326], [0.2552, 0.5000, 0.7666], [0.7448, 0.5000, 0.2334], [0.7572, 0.0000, 0.7674], [0.5000, 0.0000, 0.0000], [0.0000, 0.0000, 0.5000], [0.5000, 0.5000, 0.5000], [0.0000, 0.5000, 0.0000]]
}

***

2.
{
  "formula": "CdHgSeS",
  "functional": "PBE",
  "state": "relaxed",
  "dos_at_fermi_per_ev_cell": 0.41,
  "crystal_system": "trigonal",
  "final_energy_ev_per_cell": -10.43,
  "magnetic_moment_mub_per_cell": 0.00,
  "lattice": [[2.1538, 1.2435, 7.0445], [-2.1538, 1.2435, 7.0445], [0.0000, -2.4870, 7.0445]],
  "species": ["Cd", "Hg", "Se", "S"],
  "frac_coords": [[0.0000, 0.0000, 0.0000], [0.5080, 0.5080, 0.5080], [0.1274, 0.1274, 0.1274], [0.6307, 0.6307, 0.6307]]
}